No. 1
VASP calculation (meta-GGA SCAN) on a PBEsol-optimized structure of Cs3NaSb.

```
data_Cs3NaSb
_chemical_formula_sum 'Cs3 Na1 Sb1'
_symmetry_space_group_name_H-M 'P 1'
_symmetry_Int_Tables_number 1
_cell_length_a 6.7449
_cell_length_b 6.7449
_cell_length_c 6.7449
_cell_angle_alpha 90.00
_cell_angle_beta 90.00
_cell_angle_gamma 90.00
loop_
_symmetry_equiv_pos_as_xyz
'x,y,z'
loop_
_atom_site_label
_atom_site_type_symbol
_atom_site_fract_x
_atom_site_fract_y
_atom_site_fract_z
Sb1 Sb 0.5000 0.5000 0.5000
Cs1 Cs 0.0000 0.0000 0.5000
Cs2 Cs 0.0000 0.5000 0.0000
Na1 Na 0.0000 0.0000 0.0000
Cs3 Cs 0.5000 0.0000 0.0000
```

Energy relative to the elements, uncorrected ... 249 meV per atom
Mass density ... 2.941 g/cm3
E ... -30.7321 eV/atom
Total moment ... 0.9 μB/f.u.

---

No. 2
VASP calculation (meta-GGA SCAN) on a PBEsol-optimized structure of CsNaSc2.

```
data_CsNaSc2
_chemical_formula_sum 'Cs1 Na1 Sc2'
_symmetry_space_group_name_H-M 'P 1'
_symmetry_Int_Tables_number 1
_cell_length_a 3.3510
_cell_length_b 3.3510
_cell_length_c 12.8609
_cell_angle_alpha 82.51
_cell_angle_beta 82.51
_cell_angle_gamma 60.00
loop_
_symmetry_equiv_pos_as_xyz
'x,y,z'
loop_
_atom_site_label
_atom_site_type_symbol
_atom_site_fract_x
_atom_site_fract_y
_atom_site_fract_z
Sc1 Sc 0.9116 0.9116 0.2653
Cs1 Cs 0.0000 0.0000 0.0000
Sc2 Sc 0.0884 0.0884 0.7347
Na1 Na 0.5000 0.5000 0.5000
```

ΔE_f ... 0.6051 eV/atom
Mass density ... 3.301 g/cm3
E ... -17.0198 eV/atom
Total moment ... 0.0 μB/f.u.